Entry 1:
Density functional theory data (PBE) for crystalline Zr2HgSe at its relaxed geometry.

## Properties
M_tot = 0.0 μB per cell
energy above the lowest structure with this stoichiometry = 35.2 meV/atom
crystal system = trigonal
space-group type = R3m (160)
E_form (uncorrected) = -0.56 eV per atom

Structure (extended XYZ):
```
4
Lattice="-1.2849 2.8280 2.0349 0.8848 0.2513 3.5977 5.9385 5.0623 0.1025" Properties=species:S:1:pos:R:3 pbc="T T T"
Zr 4.6790 4.2252 0.4707
Zr 1.1154 1.8565 1.5125
Hg 2.7875 4.0830 2.8622
Se 5.6641 7.1101 3.8598
```

Entry 2:
Density functional theory data (PBE) for crystalline TaZn2Mo at its relaxed geometry.

## Properties
M_tot = 0.0 μB per cell
energy above the lowest structure with this stoichiometry = 24.9 meV/atom
crystal system = monoclinic
space-group type = Pm (6)

Structure (extended XYZ):
```
4
Lattice="4.3570 0.0000 0.0000 0.0000 2.8019 0.0027 0.0000 0.6458 5.1434" Properties=species:S:1:pos:R:3 pbc="T T T"
Mo 0.0000 1.7631 2.4949
Ta 2.1785 2.5225 3.9223
Zn 0.0000 1.0478 5.1149
Zn 2.1785 0.4840 1.3305
```

Entry 3:
Density functional theory data (PBE) for crystalline Hf5Ga2N at its relaxed geometry.

## Properties
M_tot = 0.0 μB per cell
crystal system = orthorhombic
space-group type = Cmcm (63)
E_form (uncorrected) = -0.21 eV per atom

Structure (extended XYZ):
```
16
Lattice="-2.7000 0.1175 3.3249 6.0742 -3.9727 2.3122 4.6868 9.1923 3.4813" Properties=species:S:1:pos:R:3 pbc="T T T"
Hf 6.6267 5.1258 7.9610
Hf 5.2866 2.4975 6.9657
Hf 4.8719 1.5775 3.9006
Hf 3.1908 -1.7197 2.6519
Hf 1.9061 0.6299 4.2865
Hf 6.1549 4.7072 4.8319
Hf 3.1891 3.7596 5.2178
Hf 4.8702 7.0568 6.4665
Hf 1.4343 0.2112 1.1573
Hf 2.7744 2.8395 2.1527
Ga 4.2337 0.1086 6.1951
Ga 3.2250 -1.8699 5.4458
Ga 3.8273 5.2285 2.9233
Ga 4.8360 7.2070 3.6726
N 4.9312 4.6613 6.6006
N 3.1298 0.6758 2.5177
```

Entry 4:
Density functional theory data (PBE) for crystalline La12Pm2Y5 at its relaxed geometry.

## Properties
M_tot = 0.0 μB per cell
DFT total energy = -5.200 eV per atom
crystal system = monoclinic
space-group type = C2/m (12)

Structure (extended XYZ):
```
19
Lattice="1.1840 -4.1986 3.8693 8.9710 -6.4658 -5.4212 12.1377 1.0720 1.7890" Properties=species:S:1:pos:R:3 pbc="T T T"
La 18.6209 -5.0332 -2.9165
La 5.9800 -4.1468 -1.9174
La 7.3735 -0.8299 1.2553
La 8.8519 -6.3709 -0.6917
La 10.1831 -3.2022 2.3394
La 9.0885 -2.8149 -1.0489
La 13.2042 -6.7774 1.2860
La 13.4408 -3.2214 0.9287
La 12.1096 -6.3901 -2.1023
La 16.3127 -5.4455 2.1545
La 14.9192 -8.7624 -1.0182
La 3.6718 -4.5591 3.1536
Pm 11.5062 -0.4311 0.3512
Pm 9.6025 -4.9626 -3.9834
Y 4.3236 -2.5101 0.7252
Y 7.0070 -4.6438 1.7772
Y 0.5920 -2.0993 1.9346
Y 15.2857 -4.9485 -1.5402
Y 17.9691 -7.0822 -0.4881
```

Entry 5:
Density functional theory data (PBE) for crystalline Cs2LiYF6 at its relaxed geometry.

## Properties
M_tot = 0.0 μB per cell
crystal system = cubic
space-group type = Fm-3m (225)
E_form (uncorrected) = -3.33 eV per atom

Structure (extended XYZ):
```
10
Lattice="-0.8935 5.9755 -1.8675 -4.5947 1.3707 -4.1234 -5.1211 3.1787 1.9137" Properties=species:S:1:pos:R:3 pbc="T T T"
Cs -2.6523 2.6312 -1.0193
Cs -7.9570 7.8937 -3.0578
Li -5.3047 5.2625 -2.0385
Y 0.0000 0.0000 0.0000
F -5.2119 4.2090 -0.0403
F -7.5349 4.9020 -2.1250
F -5.3974 6.3160 -4.0368
F -4.9457 3.2948 -3.0926
F -5.6636 7.2302 -0.9845
F -3.0744 5.6230 -1.9520
```

Entry 6:
Density functional theory data (PBE) for crystalline Li2TlHPt at its relaxed geometry.

## Properties
M_tot = 0.0 μB per cell
energy above the lowest structure with this stoichiometry = 0.0 meV/atom
crystal system = tetragonal
space-group type = P4/mmm (123)

Structure (extended XYZ):
```
5
Lattice="4.2853 0.0000 0.0000 0.0000 4.2853 0.0000 0.0000 0.0000 3.6888" Properties=species:S:1:pos:R:3 pbc="T T T"
H 0.0000 0.0000 0.0000
Tl 2.1427 2.1427 1.8444
Pt 0.0000 0.0000 1.8444
Li 0.0000 2.1427 0.0000
Li 2.1427 0.0000 0.0000
```

Entry 7:
Density functional theory data (PBE) for crystalline NbAl2Au at its relaxed geometry.

## Properties
M_tot = 0.0 μB per cell
DFT total energy = -5.507 eV per atom
crystal system = tetragonal
space-group type = P4/mmm (123)

Structure (extended XYZ):
```
4
Lattice="-2.0645 -1.5406 -1.3411 0.1807 -2.0372 2.0620 -5.5338 3.7599 4.1996" Properties=species:S:1:pos:R:3 pbc="T T T"
Nb -3.7088 0.0911 2.4602
Au -0.9419 -1.7889 0.3604
Al -4.1771 2.8381 3.1700
Al -1.3567 0.9218 1.0296
```

Entry 8:
Density functional theory data (PBE) for crystalline K2CdAg2Br6 at its relaxed geometry.

## Properties
M_tot = 0.0 μB per cell
crystal system = monoclinic
space-group type = C2/m (12)
E_form (uncorrected) = -0.95 eV per atom

Structure (extended XYZ):
```
11
Lattice="-4.1878 -6.6537 -0.3325 6.9557 0.0676 4.1528 -5.9906 3.6047 3.3176" Properties=species:S:1:pos:R:3 pbc="T T T"
K -0.8787 -4.2179 2.3583
K -2.3441 1.2365 4.7796
Cd -5.0892 -1.5245 1.4925
Ag -2.5351 -3.3516 5.8843
Ag -0.6877 0.3702 1.2536
Br -3.4678 -2.6487 3.5676
Br 4.0831 -0.5132 4.2057
Br -5.2657 0.7733 3.0943
Br -7.3058 -2.4681 2.9323
Br 2.0429 -3.7547 4.0437
Br 0.2450 -0.3326 3.5703
```

Entry 9:
Density functional theory data (PBE) for crystalline Ca3Er2UAs6 at its relaxed geometry.

## Properties
M_tot = 0.0 μB per cell
DFT total energy = -5.744 eV per atom
crystal system = monoclinic
space-group type = C2/m (12)

Structure (extended XYZ):
```
12
Lattice="7.1609 -0.0001 0.0004 -3.5788 6.2025 0.0004 -1.1944 -2.0681 6.8480" Properties=species:S:1:pos:R:3 pbc="T T T"
Ca -2.3505 4.1141 3.4244
Ca 4.7382 0.0201 3.4244
Ca 1.1938 2.0671 3.4244
Er 0.0064 4.1319 0.0004
Er 3.5757 2.0705 0.0004
U 0.0000 0.0000 0.0000
As 3.5396 2.1430 5.2708
As 2.4358 4.2175 1.5713
As -1.1519 1.9912 1.5780
As 0.0873 4.1369 5.2708
As -0.0481 -0.0833 5.2775
As 2.3004 -0.0026 1.5780
```

Entry 10:
Density functional theory data (PBE) for crystalline Os3PtW at its relaxed geometry.

## Properties
M_tot = 0.0 μB per cell
energy above the lowest structure with this stoichiometry = 1550.0 meV/atom
crystal system = cubic
space-group type = Pm-3m (221)

Structure (extended XYZ):
```
5
Lattice="-3.6443 1.5529 2.4464 -2.8885 -1.6341 -3.2655 -0.2305 -4.0738 2.2424" Properties=species:S:1:pos:R:3 pbc="T T T"
Os -1.4442 -0.8170 -1.6328
Os -0.1153 -2.0369 1.1212
Os -1.8221 0.7764 1.2232
W -3.3816 -2.0775 0.7117
Pt 0.0000 0.0000 0.0000
```

Entry 11:
Density functional theory data (PBE) for crystalline CuRhSe at its relaxed geometry.

## Properties
M_tot = 0.0 μB per cell
energy above the lowest structure with this stoichiometry = 68.9 meV/atom
crystal system = cubic
space-group type = F-43m (216)
E_form (uncorrected) = 0.06 eV per atom

Structure (extended XYZ):
```
3
Lattice="-0.3372 -1.1518 3.9895 -2.5007 -3.1620 1.0510 1.6348 -3.6155 1.2696" Properties=species:S:1:pos:R:3 pbc="T T T"
Cu -0.6016 -3.9646 3.1550
Rh -0.9023 -5.9469 4.7325
Se 0.0000 0.0000 0.0000
```

Entry 12:
Density functional theory data (PBE) for crystalline Ca12InPd6 at its relaxed geometry.

## Properties
M_tot = 0.0 μB per cell
DFT total energy = -3.541 eV per atom
crystal system = cubic
space-group type = Im-3 (204)

Structure (extended XYZ):
```
19
Lattice="1.6861 7.4379 -4.6625 0.1660 -7.0566 -5.4846 -8.0659 0.6303 3.8011" Properties=species:S:1:pos:R:3 pbc="T T T"
Ca -6.0822 1.9021 1.0220
Ca -0.8585 -1.0402 -3.3848
Ca -5.3552 2.0518 -2.9612
Ca -0.1315 -0.8905 -7.3679
Ca -2.1048 -4.6747 -3.9209
Ca -1.6045 2.5191 -2.0869
Ca -4.6092 -1.5075 -4.2590
Ca -4.1089 5.6863 -2.4251
Ca 0.4344 4.0347 -5.0188
Ca -3.5470 -0.5005 -0.6663
Ca -2.6667 1.5121 -5.6797
Ca -6.6481 -3.0231 -1.3271
In 0.0000 0.0000 0.0000
Pd -6.3077 -0.2314 -1.1600
Pd 0.0940 1.2430 -5.1859
Pd -1.9935 -2.1843 -5.6957
Pd -4.2202 3.1959 -0.6502
Pd -2.5054 4.1750 -4.1807
Pd -3.7083 -3.1634 -2.1652
```

Entry 13:
Density functional theory data (PBE) for crystalline MgTaPS2 at its relaxed geometry.

## Properties
M_tot = 0.0 μB per cell
energy above the lowest structure with this stoichiometry = 0.0 meV/atom
crystal system = tetragonal
space-group type = P4/mmm (123)
E_form (uncorrected) = -0.27 eV per atom

Structure (extended XYZ):
```
5
Lattice="4.7244 0.0000 0.0000 0.0000 4.7244 0.0000 0.0000 0.0000 5.0188" Properties=species:S:1:pos:R:3 pbc="T T T"
P 0.0000 0.0000 2.5094
S 0.0000 2.3622 0.0000
S 2.3622 0.0000 0.0000
Mg 2.3622 2.3622 2.5094
Ta 0.0000 0.0000 0.0000
```

Entry 14:
Density functional theory data (PBE) for crystalline SnGeRu2 at its relaxed geometry.

## Properties
M_tot = 0.0 μB per cell
DFT total energy = -6.121 eV per atom
crystal system = tetragonal
space-group type = I-42d (122)

Structure (extended XYZ):
```
8
Lattice="5.7694 0.0000 0.0000 0.0000 5.7694 0.0000 2.8847 2.8847 5.5951" Properties=species:S:1:pos:R:3 pbc="T T T"
Ru 4.1422 1.4423 1.3988
Ru 1.6272 4.3270 1.3988
Ru 4.3270 4.5119 4.1963
Ru 7.2117 7.0269 4.1963
Ge 2.8847 2.8847 0.0000
Ge 2.8847 5.7694 2.7976
Sn 0.0000 0.0000 0.0000
Sn 5.7694 2.8847 2.7976
```

Entry 15:
Density functional theory data (PBE) for crystalline Mg2AgSn2 at its relaxed geometry.

## Properties
M_tot = 0.0 μB per cell
energy above the lowest structure with this stoichiometry = 90.0 meV/atom
crystal system = tetragonal
space-group type = P4/mbm (127)

Structure (extended XYZ):
```
10
Lattice="7.3519 0.0000 0.0000 0.0000 7.3519 0.0000 0.0000 0.0000 4.4607" Properties=species:S:1:pos:R:3 pbc="T T T"
Mg 1.1998 4.8757 2.2303
Mg 4.8757 6.1521 2.2303
Mg 6.1521 2.4762 2.2303
Mg 2.4762 1.1998 2.2303
Sn 2.6210 6.2970 0.0000
Sn 6.2970 4.7308 0.0000
Sn 4.7308 1.0549 0.0000
Sn 1.0549 2.6210 0.0000
Ag 0.0000 0.0000 0.0000
Ag 3.6759 3.6759 0.0000
```

Entry 16:
Density functional theory data (PBE) for crystalline Zn2CrTc at its relaxed geometry.

## Properties
M_tot = 0.5 μB per cell
energy above the lowest structure with this stoichiometry = 143.1 meV/atom
crystal system = monoclinic
space-group type = C2/m (12)

Structure (extended XYZ):
```
4
Lattice="-0.2903 3.1336 -3.8847 2.1682 -4.4558 -0.6626 -1.9663 -1.1390 -1.1824" Properties=species:S:1:pos:R:3 pbc="T T T"
Cr -1.1283 0.9973 -2.5336
Tc 0.1009 -2.7974 -0.9225
Zn 0.0000 0.0000 0.0000
Zn 0.9390 -0.6611 -2.2737
```

Entry 17:
Density functional theory data (PBE) for crystalline MnCoP2 at its relaxed geometry.

## Properties
M_tot = 3.1 μB per cell
energy above the lowest structure with this stoichiometry = 543.4 meV/atom
crystal system = tetragonal
space-group type = I-42d (122)

Structure (extended XYZ):
```
8
Lattice="-2.9776 4.1884 0.1164 -2.9194 -1.9714 -3.7434 -5.8020 -1.0129 1.5292" Properties=species:S:1:pos:R:3 pbc="T T T"
P -3.7133 2.1700 -0.0115
P -3.6105 -1.0136 -1.9442
P -6.5267 0.0961 -0.1669
P -9.5475 1.1558 -2.0731
Mn -2.9485 1.1085 -1.8135
Mn -5.8350 -0.9379 -2.0139
Co 0.0000 0.0000 0.0000
Co -5.8640 2.1420 -0.0840
```

Entry 18:
Density functional theory data (PBE) for crystalline CsCaI2Cl at its relaxed geometry.

## Properties
M_tot = 0.0 μB per cell
crystal system = tetragonal
space-group type = P4/mmm (123)
E_form (uncorrected) = -1.82 eV per atom

Structure (extended XYZ):
```
5
Lattice="-0.5860 -1.4246 -6.1117 6.2242 -0.9159 -0.3833 -0.6850 -5.1885 1.2751" Properties=species:S:1:pos:R:3 pbc="T T T"
Cs 2.4766 -3.7645 -2.6100
I 3.1121 -0.4579 -0.1916
I -0.2930 -0.7123 -3.0559
Ca 0.0000 0.0000 0.0000
Cl -0.3425 -2.5943 0.6375
```

Entry 19:
Density functional theory data (PBE) for crystalline TbNdMg at its relaxed geometry.

## Properties
M_tot = 0.0 μB per cell
energy above the lowest structure with this stoichiometry = 0.0 meV/atom
crystal system = orthorhombic
space-group type = Cmcm (63)

Structure (extended XYZ):
```
6
Lattice="5.2765 0.0000 0.0000 0.0000 5.0211 -1.5802 0.0000 -0.5448 7.0390" Properties=species:S:1:pos:R:3 pbc="T T T"
Tb 3.9574 4.3855 0.7835
Tb 1.3191 0.0908 4.6753
Nd 3.9574 2.5942 3.8626
Nd 1.3191 1.8821 1.5962
Mg 3.9574 1.2569 -0.3922
Mg 1.3191 3.2193 5.8510
```

Entry 20:
Density functional theory data (PBE) for crystalline Ta2TePd at its relaxed geometry.

## Properties
M_tot = 0.0 μB per cell
crystal system = tetragonal
space-group type = I-42d (122)
E_form (uncorrected) = 0.92 eV per atom

Structure (extended XYZ):
```
8
Lattice="5.8541 0.0000 0.0000 0.0000 5.8541 0.0000 2.9270 2.9270 6.3566" Properties=species:S:1:pos:R:3 pbc="T T T"
Te 0.0000 0.0000 0.0000
Te 5.8541 2.9270 3.1783
Pd 2.9270 2.9270 0.0000
Pd 2.9270 5.8541 3.1783
Ta 4.1181 1.4635 1.5892
Ta 1.7359 4.3905 1.5892
Ta 4.3905 4.6630 4.7675
Ta 7.3176 7.0452 4.7675
```